First-principles (PBE-GGA) data for a relaxed Li5Cd3Hg crystal, as listed in Alexandria.

## Properties
energy	-1.46	eV/atom
SG	C2/m, No. 12
energy of formation from the pure elements	-0.06	eV per atom
M_tot	0.00	μB/f.u.

Lattice parameters (Å, degrees): 5.804 5.804 11.880 87.80 87.80 74.71
Element x y z (fractional)
Li 0.996 0.453 0.328
Li 0.336 0.664 0.000
Li 0.741 0.741 0.121
Li 0.487 0.487 0.273
Li 0.513 0.513 0.727
Li 0.259 0.259 0.879
Li 0.453 0.996 0.328
Li 0.664 0.336 0.000
Li 0.004 0.547 0.672
Li 0.547 0.004 0.672
Cd 0.738 0.738 0.877
Cd 0.656 0.656 0.497
Cd 0.000 0.000 0.000
Cd 0.000 0.000 0.500
Cd 0.262 0.262 0.123
Cd 0.344 0.344 0.503
Hg 0.032 0.032 0.743
Hg 0.968 0.968 0.257


First-principles (PBE-GGA) data for a relaxed MnB2Pb crystal, as listed in Alexandria.

## Properties
energy	-5.86	eV/atom
SG	I4_1/amd, No. 141
relative energy among the computed polymorphs	0.00	eV/f.u.
energy of formation from the pure elements	0.70	eV per atom
M_tot	0.00	μB/f.u.

Lattice parameters (Å, degrees): 3.933 3.933 7.554 74.91 74.91 90.00
Element x y z (fractional)
Pb 0.000 0.000 0.000
Pb 0.750 0.250 0.500
B 0.375 0.125 0.250
B 0.375 0.625 0.250
B 0.375 0.625 0.750
B 0.875 0.625 0.750
Mn 0.500 0.500 0.000
Mn 0.250 0.750 0.500


First-principles (PBE-GGA) data for a relaxed SrTa3Co crystal, as listed in Alexandria.

## Properties
energy	-8.01	eV/atom
SG	Pm-3m, No. 221
relative energy among the computed polymorphs	0.00	eV/f.u.
energy of formation from the pure elements	0.86	eV per atom
M_tot	0.00	μB/f.u.

Lattice parameters (Å, degrees): 4.771 4.771 4.771 90.00 90.00 90.00
Element x y z (fractional)
Sr 0.500 0.500 0.500
Co 0.000 0.000 0.000
Ta 0.000 0.500 0.000
Ta 0.000 0.000 0.500
Ta 0.500 0.000 0.000


First-principles (PBE-GGA) data for a relaxed Ce2PmPtN4 crystal, as listed in Alexandria.

## Properties
energy	-7.99	eV/atom
SG	Cmcm, No. 63
formation energy from raw total energies	-7.929	eV per formula unit
M_tot	0.00	μB/f.u.

Lattice parameters (Å, degrees): 3.479 6.175 11.918 90.00 90.00 106.36
Element x y z (fractional)
Ce 0.371 0.742 0.553
Ce 0.629 0.258 0.053
Ce 0.629 0.258 0.447
Ce 0.371 0.742 0.947
Pm 0.113 0.227 0.750
Pm 0.887 0.773 0.250
Pt 0.850 0.701 0.750
Pt 0.150 0.299 0.250
N 0.274 0.549 0.116
N 0.726 0.451 0.616
N 0.726 0.451 0.884
N 0.274 0.549 0.384
N 0.000 0.000 0.500
N 0.000 0.000 0.000
N 0.459 0.918 0.750
N 0.541 0.082 0.250


First-principles (PBE-GGA) data for a relaxed DyTeH crystal, as listed in Alexandria.

## Properties
energy	-4.76	eV/atom
SG	C2/m, No. 12
M_tot	0.00	μB/f.u.

Lattice parameters (Å, degrees): 3.972 6.041 5.938 75.29 70.46 70.80
Element x y z (fractional)
Dy 0.708 0.352 0.233
Dy 0.292 0.648 0.767
Te 0.947 0.790 0.317
Te 0.053 0.210 0.683
H 0.291 0.351 0.067
H 0.709 0.649 0.933


First-principles (PBE-GGA) data for a relaxed Zr3ScOs crystal, as listed in Alexandria.

## Properties
energy	-8.79	eV/atom
SG	Pnma, No. 62
relative energy among the computed polymorphs	0.22	eV/f.u.
energy of formation from the pure elements	-0.15	eV per atom
M_tot	0.00	μB/f.u.

Lattice parameters (Å, degrees): 5.816 8.048 9.427 90.00 90.00 90.00
Element x y z (fractional)
Zr 0.904 0.168 0.973
Zr 0.596 0.668 0.473
Zr 0.596 0.668 0.027
Zr 0.096 0.832 0.473
Zr 0.096 0.832 0.027
Zr 0.404 0.332 0.527
Zr 0.404 0.332 0.973
Zr 0.904 0.168 0.527
Zr 0.276 0.046 0.750
Zr 0.224 0.546 0.250
Zr 0.724 0.954 0.250
Zr 0.776 0.454 0.750
Sc 0.272 0.625 0.750
Sc 0.228 0.125 0.250
Sc 0.728 0.375 0.250
Sc 0.772 0.875 0.750
Os 0.000 0.500 0.000
Os 0.500 0.000 0.500
Os 0.500 0.000 0.000
Os 0.000 0.500 0.500


First-principles (PBE-GGA) data for a relaxed VGaAg3 crystal, as listed in Alexandria.

## Properties
energy	-3.04	eV/atom
SG	Pm-3m, No. 221
relative energy among the computed polymorphs	1.57	eV/f.u.
energy of formation from the pure elements	1.10	eV per atom
M_tot	3.42	μB/f.u.

Lattice parameters (Å, degrees): 5.067 5.067 5.067 90.00 90.00 90.00
Site moments in Bohr magnetons follow the coordinates.
Element x y z (fractional)
Ag 0.000 0.500 0.000  0.09
Ag 0.000 0.000 0.500  0.09
Ag 0.500 0.000 0.000  0.09
Ga 0.500 0.500 0.500  0.00
V 0.000 0.000 0.000  2.65


First-principles (PBE-GGA) data for a relaxed LiTl2AsBr6 crystal, as listed in Alexandria.

## Properties
energy	-2.94	eV/atom
SG	R3, No. 146
formation energy from raw total energies	-8.067	eV per formula unit
M_tot	0.00	μB/f.u.

Lattice parameters (Å, degrees): 7.800 7.801 8.222 61.68 61.67 60.00
Element x y z (fractional)
Li 0.752 0.752 0.745
Tl 0.528 0.528 0.416
Tl 0.043 0.043 0.872
As 0.320 0.320 0.039
Br 0.560 0.177 0.229
Br 0.177 0.033 0.229
Br 0.033 0.560 0.229
Br 0.484 0.667 0.752
Br 0.667 0.097 0.752
Br 0.097 0.484 0.752


First-principles (PBE-GGA) data for a relaxed KY2TaS crystal, as listed in Alexandria.

## Properties
energy	-5.04	eV/atom
SG	P4/mmm, No. 123
formation energy from raw total energies	4.823	eV per formula unit
M_tot	0.00	μB/f.u.

Lattice parameters (Å, degrees): 5.415 5.781 5.415 90.00 90.00 90.00
Element x y z (fractional)
Y 0.000 0.000 0.500
Y 0.500 0.000 0.000
K 0.000 0.500 0.000
S 0.500 0.500 0.500
Ta 0.000 0.000 0.000


First-principles (PBE-GGA) data for a relaxed LiAgPb2S crystal, as listed in Alexandria.

## Properties
energy	-3.09	eV/atom
SG	P4/mmm, No. 123
formation energy from raw total energies	0.840	eV per formula unit
relative energy among the computed polymorphs	1.40	eV/f.u.
M_tot	0.00	μB/f.u.

Lattice parameters (Å, degrees): 5.760 4.617 5.760 90.00 90.00 90.00
Element x y z (fractional)
Pb 0.000 0.000 0.500
Pb 0.500 0.000 0.000
S 0.000 0.000 0.000
Ag 0.000 0.500 0.000
Li 0.500 0.500 0.500


First-principles (PBE-GGA) data for a relaxed SmSbRh2 crystal, as listed in Alexandria.

## Properties
energy	-6.36	eV/atom
SG	Pmmm, No. 47
formation energy from raw total energies	-1.906	eV per formula unit
M_tot	0.00	μB/f.u.

Lattice parameters (Å, degrees): 4.042 3.656 5.963 90.00 90.00 90.00
Element x y z (fractional)
Sm 0.500 0.500 0.000
Sb 0.500 0.000 0.500
Rh 0.000 0.000 0.233
Rh 0.000 0.000 0.767


First-principles (PBE-GGA) data for a relaxed Li2AsHAu crystal, as listed in Alexandria.

## Properties
energy	-3.40	eV/atom
SG	P4/mmm, No. 123
relative energy among the computed polymorphs	0.00	eV/f.u.
M_tot	0.00	μB/f.u.

Lattice parameters (Å, degrees): 4.134 4.134 3.817 90.00 90.00 90.00
Element x y z (fractional)
H 0.000 0.000 0.000
As 0.500 0.500 0.500
Au 0.000 0.000 0.500
Li 0.000 0.500 0.000
Li 0.500 0.000 0.000